B5C7 PBE optimized geometry; energy = -7.76 eV per atom; calculated formation energy = 466.6 kJ/mol of formula units; spin magnetization = 0.00 μB/f.u.
1.0
4.4260 0.0579 -0.8470
-2.3540 3.7485 -0.8470
-0.0538 -0.0988 4.7718
B C
5 7
Cartesian
0.8146 1.3356 0.0902
-0.2019 2.3201 3.7561
3.1127 0.3363 -0.1371
-1.5805 2.6394 0.0902
3.2621 0.6109 1.6925
2.0626 1.2035 3.8274
-2.3689 3.6157 3.8274
-0.3436 2.0597 2.2336
1.0399 1.8552 1.5753
1.8154 3.2224 1.5462
1.8148 0.7557 2.3931
-1.2665 3.1106 1.5753